The following is a PBE with a Hubbard U calculation of an optimized crystal structure of Mg4CoO5, from OQMD via LeMat-Bulk.

Properties
Final energy = -0.44054 Ry/atom
Total magnetization = 6.0 Bohr magnetons per cell

Cell lengths 5.1451, 5.1618, 7.8778 Å; angles 109.02, 102.55, 99.74 degrees
With the nearest neighbours (Å) after each atom.
Space group P-1 (No. 2)
One atom of each set of equivalent atoms:
1 Mg 0.0000 0.0000 0.0000 [1 per cell]  6 O 2.10
2 Mg 0.1023 0.2017 0.6999 [2 per cell]  6 O 2.08-2.11
3 Mg 0.2001 0.4004 0.4002 [2 per cell]  6 O 2.10-2.11
4 Mg 0.3014 0.6040 0.1002 [2 per cell]  6 O 2.09-2.11
5 Mg 0.5000 0.0000 0.5000 [1 per cell]  6 O 2.08-2.11
6 Co 0.4002 0.8001 0.8003 [2 per cell]  6 O 2.12-2.14
7 O 0.0462 0.5989 0.8507 [2 per cell]  5 Mg 2.09-2.11, 1 Co 2.12
8 O 0.1465 0.7991 0.5468 [2 per cell]  5 Mg 2.08-2.11, 1 Co 2.13
9 O 0.2457 0.9983 0.2501 [2 per cell]  5 Mg 2.09-2.11, 1 Co 2.12
10 O 0.3464 0.2056 0.9490 [2 per cell]  4 Mg 2.08-2.10, 2 Co 2.13-2.14
11 O 0.4512 0.3938 0.6476 [2 per cell]  5 Mg 2.08-2.11, 1 Co 2.14